(1)
## Ta2TeS3 (PBE-GGA)

Data for a geometry-optimized Ta2TeS3 structure.

Calculated values
Uncorrected energy = -0.54427 Ry per atom
Space-group type = Cm, No. 8

Cell lengths 11.157, 11.157, 5.963 Å; angles 90.33, 90.33, 17.24 degrees
Sites, in units of the cell vectors:
Ta  0.000  0.000  0.000
Ta  0.502  0.502  0.464
Te  0.910  0.910  0.655
S  0.066  0.066  0.654
S  0.430  0.430  0.149
S  0.572  0.572  0.148



(2)
## Ta2Tl4S11 (PBE-GGA)

Data for a geometry-optimized Ta2Tl4S11 structure.

Calculated values
Uncorrected energy = -0.38162 Ry per atom
Space-group type = P-1, No. 2

Cell lengths 8.004, 9.052, 13.408 Å; angles 72.54, 88.85, 85.49 degrees
Sites, in units of the cell vectors:
Ta  0.122  0.363  0.304
Ta  0.334  0.112  0.190
Ta  0.666  0.888  0.810
Ta  0.878  0.637  0.696
Tl  0.055  0.763  0.975
Tl  0.216  0.969  0.571
Tl  0.240  0.418  0.584
Tl  0.500  0.271  0.886
Tl  0.500  0.729  0.114
Tl  0.760  0.582  0.416
Tl  0.784  0.031  0.429
Tl  0.945  0.237  0.025
S  0.010  0.707  0.535
S  0.042  0.132  0.254
S  0.044  0.644  0.245
S  0.106  0.492  0.814
S  0.268  0.399  0.112
S  0.272  0.041  0.045
S  0.366  0.868  0.332
S  0.389  0.196  0.369
S  0.393  0.433  0.349
S  0.411  0.066  0.749
S  0.480  0.681  0.884
S  0.520  0.319  0.116
S  0.589  0.934  0.251
S  0.607  0.567  0.651
S  0.611  0.804  0.631
S  0.634  0.132  0.668
S  0.728  0.959  0.955
S  0.732  0.601  0.888
S  0.894  0.508  0.186
S  0.956  0.356  0.755
S  0.958  0.868  0.746
S  0.990  0.293  0.465